(i)
VASP calculation (PBE-GGA) on a geometry-optimized Ta3Mo2W3 structure.

Cell: 3.2158 7.1164 7.1164 Å, 120.00 90.00 90.00°
Last column: nearest neighbours and their distance in Å.
Element x y z (fractional)
W 0.0000 0.2184 0.0000  2 W 2.69, 4 Ta 2.83, 2 Mo 2.87
W 0.0000 0.0000 0.2184  2 W 2.69, 4 Ta 2.83, 2 Mo 2.87
W 0.0000 0.7816 0.7816  2 W 2.69, 4 Ta 2.83, 2 Mo 2.87
Mo 0.0000 0.3333 0.6667  6 Ta 2.76, 3 W 2.87
Mo 0.0000 0.6667 0.3333  6 Ta 2.76, 3 W 2.87
Ta 0.5000 0.6246 0.0000  4 Mo 2.76, 4 W 2.83
Ta 0.5000 0.3754 0.3754  4 Mo 2.76, 4 W 2.83
Ta 0.5000 0.0000 0.6246  4 Mo 2.76, 4 W 2.83

* Fermi-level density of states: 9.36 states/eV/f.u.
* calculated density: 15.14 g/cm3

(ii)
VASP calculation (PBE-GGA) on a geometry-optimized Ta3Mo2W3 structure.

Cell: 3.2212 4.5668 9.5122 Å, 103.89 99.75 90.00°
Last column: nearest neighbours and their distance in Å.
Element x y z (fractional)
Ta 0.0000 0.5000 0.0000  8 W 2.79-2.84
Ta 0.8745 0.8745 0.7489  6 W 2.79, 2 Mo 2.81
Ta 0.1255 0.1255 0.2511  6 W 2.79, 2 Mo 2.81
W 0.3717 0.3717 0.7434  2 Mo 2.71, 6 Ta 2.79-2.84
Mo 0.7519 0.2519 0.5038  2 W 2.71, 4 Mo 2.80, 2 Ta 2.81
W 0.5000 0.0000 0.0000  8 Ta 2.79
Mo 0.2481 0.7481 0.4962  2 W 2.71, 4 Mo 2.80, 2 Ta 2.81
W 0.6283 0.6283 0.2566  2 Mo 2.71, 6 Ta 2.79-2.84

* Fermi-level density of states: 4.27 states/eV/f.u.
* calculated density: 15.97 g/cm3

It is (ii) that is most stable; the runner-up trails by 0.630 eV/atom.